Below is crystalline MgGePdW2 at its relaxed geometry, with properties calculated at the GGA-PBE level.

Computed properties:
Its crystal system is tetragonal.

Lattice parameters (Å, degrees): 4.8108 4.7026 4.8108 90.00 90.00 90.00
Last column: magnetic moment on the atom in μB.
Fractional positions:
W1 0.0000 0.0000 0.5000  0.69
W2 0.5000 0.0000 0.0000  0.77
Pd1 0.0000 0.0000 0.0000  0.00
Ge1 0.5000 0.5000 0.5000  -0.05
Mg1 0.0000 0.5000 0.0000  -0.01

***

Below is crystalline YMgGePd at its relaxed geometry, with properties calculated at the GGA-PBE level.

Computed properties:
Its crystal system is cubic.

Lattice parameters (Å, degrees): 4.8179 4.8179 4.8179 60.00 60.00 60.00
Fractional positions:
Y1 0.5000 0.5000 0.5000
Mg1 0.0000 0.0000 0.0000
Pd1 0.7500 0.7500 0.7500
Ge1 0.2500 0.2500 0.2500

***

Below is crystalline MgZnGePd at its relaxed geometry, with properties calculated at the GGA-PBE level.

Computed properties:
Its crystal system is monoclinic.

Lattice parameters (Å, degrees): 4.0261 4.9119 4.0304 114.39 90.00 114.19
Fractional positions:
Mg1 0.0404 0.0807 0.8492
Pd1 0.5408 0.0816 0.3493
Ge1 0.2904 0.5808 0.6010
Zn1 0.7907 0.5815 0.0992

***

Number 1: formation energy 1.5935 eV/atom, energy -29.34 eV for the cell shown. Number 2: formation energy -0.6621 eV/atom, energy -20.52 eV for the cell shown. Number 3: formation energy -0.3119 eV/atom, energy -13.93 eV for the cell shown.